The following is a PBE calculation of crystalline SrCaDy2Se4 at its relaxed geometry, from the Alexandria database.

Total energy, eV per formula unit: -41.78
Symmetry: P2/m

abc: 7.198 4.158 7.352
angles: 90.00 109.08 90.00
Positions (direct):
1 Sr 0.000 0.000 0.000
2 Ca 0.500 0.500 0.000
3 Dy 0.000 0.500 0.500
4 Dy 0.500 0.000 0.500
5 Se 0.252 0.000 0.740
6 Se 0.260 0.500 0.265
7 Se 0.740 0.500 0.735
8 Se 0.748 0.000 0.260

=====

The following is a PBE calculation of crystalline Li3B4C4 at its relaxed geometry, from the Alexandria database.

Symmetry: C2
Formation energy from the elements, eV/atom: -0.233

abc: 7.672 7.672 5.449
angles: 100.28 100.28 35.82
Positions (direct):
1 Li 0.125 0.125 0.054
2 Li 0.125 0.125 0.570
3 Li 0.376 0.374 0.687
4 Li 0.626 0.624 0.313
5 Li 0.875 0.875 0.430
6 Li 0.875 0.875 0.946
7 B 0.088 0.416 0.877
8 B 0.089 0.413 0.374
9 B 0.166 0.833 0.750
10 B 0.167 0.834 0.250
11 B 0.584 0.912 0.123
12 B 0.587 0.911 0.626
13 B 0.662 0.338 0.000
14 B 0.663 0.337 0.500
15 C 0.331 0.669 0.000
16 C 0.331 0.669 0.500
17 C 0.418 0.075 0.374
18 C 0.418 0.082 0.874
19 C 0.829 0.165 0.748
20 C 0.835 0.171 0.252
21 C 0.918 0.582 0.126
22 C 0.925 0.582 0.626

=====

The following is a PBE calculation of crystalline Dy4Y3Tm3 at its relaxed geometry, from the Alexandria database.

Symmetry: Amm2
Formation energy from the elements, eV/atom: 0.100

abc: 3.719 9.222 9.222
angles: 89.99 90.00 90.00
Positions (direct):
1 Dy 0.000 0.000 0.000
2 Dy 0.000 0.257 0.257
3 Dy 0.000 0.504 0.759
4 Dy 0.000 0.759 0.504
5 Y 0.500 0.300 0.958
6 Y 0.500 0.459 0.459
7 Y 0.500 0.958 0.300
8 Tm 0.000 0.128 0.630
9 Tm 0.000 0.630 0.128
10 Tm 0.500 0.800 0.800

=====

The following is a PBE calculation of crystalline Dy2ZnGa at its relaxed geometry, from the Alexandria database.

Symmetry: P4/mmm
Formation energy from the elements, eV/atom: -0.474

abc: 5.052 5.052 3.565
angles: 90.00 90.00 90.00
Positions (direct):
1 Dy 0.000 0.500 0.000
2 Dy 0.500 0.000 0.000
3 Zn 0.000 0.000 0.500
4 Ga 0.500 0.500 0.500

=====

The following is a PBE calculation of crystalline Ba3NaCd7 at its relaxed geometry, from the Alexandria database.

Symmetry: Cmcm
Formation energy from the elements, eV/atom: -0.227

abc: 11.858 11.858 14.848
angles: 90.00 90.00 158.53
Positions (direct):
1 Ba 0.112 0.888 0.549
2 Ba 0.112 0.888 0.951
3 Ba 0.245 0.755 0.250
4 Ba 0.755 0.245 0.750
5 Ba 0.888 0.112 0.049
6 Ba 0.888 0.112 0.451
7 Na 0.038 0.962 0.250
8 Na 0.962 0.038 0.750
9 Cd 0.270 0.730 0.551
10 Cd 0.270 0.730 0.949
11 Cd 0.374 0.626 0.654
12 Cd 0.374 0.626 0.846
13 Cd 0.422 0.578 0.250
14 Cd 0.491 0.509 0.597
15 Cd 0.491 0.509 0.903
16 Cd 0.509 0.491 0.097
17 Cd 0.509 0.491 0.403
18 Cd 0.578 0.422 0.750
19 Cd 0.626 0.374 0.154
20 Cd 0.626 0.374 0.346
21 Cd 0.730 0.270 0.051
22 Cd 0.730 0.270 0.449

=====

The following is a PBE calculation of crystalline Tb4Cu2IrRu at its relaxed geometry, from the Alexandria database.

Symmetry: R-3m
Formation energy from the elements, eV/atom: -0.444

abc: 8.480 8.480 8.480
angles: 33.44 33.44 33.44
Positions (direct):
1 Tb 0.125 0.125 0.125
2 Tb 0.375 0.375 0.375
3 Tb 0.625 0.625 0.625
4 Tb 0.875 0.875 0.875
5 Cu 0.248 0.248 0.248
6 Cu 0.752 0.752 0.752
7 Ir 0.000 0.000 0.000
8 Ru 0.500 0.500 0.500

=====

Calculated volume, 25.99 8.38 31.63 22.75 34.74 20.62 Å³ per atom (same order as the records).
Calculated density of states at the Fermi level, 3.478 5.259 8.091 3.828 15.532 6.107 states/eV per cell (same order as the records).